(1)
DFT (PBE-GGA) results for crystalline Zr2PtSe at its relaxed geometry.

Structure (CIF):
```
data_Zr2PtSe
_chemical_formula_sum 'Zr4 Pt2 Se2'
_cell_length_a 3.9422
_cell_length_b 3.9422
_cell_length_c 9.9560
_cell_angle_alpha 90.00
_cell_angle_beta 90.00
_cell_angle_gamma 90.00
_space_group_name_H-M_alt 'P 1'
_space_group_IT_number 1
loop_
_space_group_symop_operation_xyz
'x,y,z'
loop_
_atom_site_label
_atom_site_fract_x
_atom_site_fract_y
_atom_site_fract_z
Zr1 0.0000 0.0000 0.0000
Zr2 0.0000 0.5000 0.2500
Zr3 0.5000 0.0000 0.7500
Zr4 0.5000 0.5000 0.5000
Pt1 0.0000 0.5000 0.7500
Pt2 0.5000 0.0000 0.2500
Se1 0.0000 0.0000 0.5000
Se2 0.5000 0.5000 0.0000
```

Values from the calculation:
The raw formation energy comes out at -0.690 eV/atom. As for the volume: 19.3 A^3/atom. The density is 9.798 g cm⁻³. Its magnetization is 0.000 μB/f.u.


(2)
DFT (PBE-GGA) results for crystalline Zr2PtSe at its relaxed geometry.

Structure (CIF):
```
data_Zr2PtSe
_chemical_formula_sum 'Zr8 Pt4 Se4'
_cell_length_a 6.7985
_cell_length_b 6.7985
_cell_length_c 6.7985
_cell_angle_alpha 90.00
_cell_angle_beta 90.00
_cell_angle_gamma 90.00
_space_group_name_H-M_alt 'P 1'
_space_group_IT_number 1
loop_
_space_group_symop_operation_xyz
'x,y,z'
loop_
_atom_site_label
_atom_site_fract_x
_atom_site_fract_y
_atom_site_fract_z
Zr1 0.0000 0.0000 0.0000
Zr2 0.0000 0.5000 0.5000
Zr3 0.2500 0.2500 0.2500
Zr4 0.2500 0.7500 0.7500
Zr5 0.5000 0.0000 0.5000
Zr6 0.5000 0.5000 0.0000
Zr7 0.7500 0.2500 0.7500
Zr8 0.7500 0.7500 0.2500
Pt1 0.2500 0.2500 0.7500
Pt2 0.2500 0.7500 0.2500
Pt3 0.7500 0.2500 0.2500
Pt4 0.7500 0.7500 0.7500
Se1 0.0000 0.0000 0.5000
Se2 0.0000 0.5000 0.0000
Se3 0.5000 0.0000 0.0000
Se4 0.5000 0.5000 0.5000
```

Values from the calculation:
The raw formation energy comes out at -0.113 eV/atom. As for the volume: 19.6 A^3/atom. The density is 9.650 g cm⁻³. Its magnetization is 1.462 μB/f.u.


(3)
DFT (PBE-GGA) results for crystalline ZrPtSe2 at its relaxed geometry.

Structure (CIF):
```
data_ZrPtSe2
_chemical_formula_sum 'Zr2 Pt2 Se4'
_cell_length_a 3.6615
_cell_length_b 3.6791
_cell_length_c 13.6047
_cell_angle_alpha 90.00
_cell_angle_beta 90.00
_cell_angle_gamma 90.00
_space_group_name_H-M_alt 'P 1'
_space_group_IT_number 1
loop_
_space_group_symop_operation_xyz
'x,y,z'
loop_
_atom_site_label
_atom_site_fract_x
_atom_site_fract_y
_atom_site_fract_z
Zr1 0.0000 0.0000 0.0000
Zr2 0.5000 0.5000 0.5000
Pt1 0.0000 0.5000 0.6542
Pt2 0.5000 0.0000 0.1542
Se1 0.0000 0.0000 0.4141
Se2 0.0000 0.5000 0.1565
Se3 0.5000 0.0000 0.6565
Se4 0.5000 0.5000 0.9141
```

Values from the calculation:
The energy above the most stable polymorph in this dataset is 72 meV/atom. The raw formation energy comes out at -0.867 eV/atom. As for the volume: 22.9 A^3/atom. The density is 8.050 g cm⁻³. Its magnetization is 0.000 μB/f.u.


(4)
DFT (PBE-GGA) results for crystalline Zr2PtSe at its relaxed geometry.

Structure (CIF):
```
data_Zr2PtSe
_chemical_formula_sum 'Zr8 Pt4 Se4'
_cell_length_a 7.2297
_cell_length_b 7.2297
_cell_length_c 6.4875
_cell_angle_alpha 90.00
_cell_angle_beta 90.00
_cell_angle_gamma 90.00
_space_group_name_H-M_alt 'P 1'
_space_group_IT_number 1
loop_
_space_group_symop_operation_xyz
'x,y,z'
loop_
_atom_site_label
_atom_site_fract_x
_atom_site_fract_y
_atom_site_fract_z
Zr1 0.2500 0.2496 0.3750
Zr2 0.2500 0.2504 0.8750
Zr3 0.2504 0.7500 0.1250
Zr4 0.2496 0.7500 0.6250
Zr5 0.7496 0.2500 0.1250
Zr6 0.7504 0.2500 0.6250
Zr7 0.7500 0.7504 0.3750
Zr8 0.7500 0.7496 0.8750
Pt1 0.0000 0.0000 0.0000
Pt2 0.0000 0.5000 0.2500
Pt3 0.5000 0.0000 0.7500
Pt4 0.5000 0.5000 0.5000
Se1 0.0000 0.0000 0.5000
Se2 0.0000 0.5000 0.7500
Se3 0.5000 0.0000 0.2500
Se4 0.5000 0.5000 0.0000
```

Values from the calculation:
The raw formation energy comes out at -0.706 eV/atom. As for the volume: 21.2 A^3/atom. The density is 8.942 g cm⁻³. Its magnetization is 0.000 μB/f.u.


(5)
DFT (PBE-GGA) results for crystalline ZrPtSe3 at its relaxed geometry.

Structure (CIF):
```
data_ZrPtSe3
_chemical_formula_sum 'Zr1 Pt1 Se3'
_cell_length_a 4.9015
_cell_length_b 4.9015
_cell_length_c 4.9015
_cell_angle_alpha 90.00
_cell_angle_beta 90.00
_cell_angle_gamma 90.00
_space_group_name_H-M_alt 'P 1'
_space_group_IT_number 1
loop_
_space_group_symop_operation_xyz
'x,y,z'
loop_
_atom_site_label
_atom_site_fract_x
_atom_site_fract_y
_atom_site_fract_z
Zr1 0.0000 0.0000 0.0000
Pt1 0.5000 0.5000 0.5000
Se1 0.0000 0.5000 0.5000
Se2 0.5000 0.0000 0.5000
Se3 0.5000 0.5000 0.0000
```

Values from the calculation:
The energy above the most stable polymorph in this dataset is 0 meV/atom. The raw formation energy comes out at 0.138 eV/atom. As for the volume: 23.6 A^3/atom. The density is 7.378 g cm⁻³. Its magnetization is 0.000 μB/f.u.


(6)
DFT (PBE-GGA) results for crystalline Zr2PtSe at its relaxed geometry.

Structure (CIF):
```
data_Zr2PtSe
_chemical_formula_sum 'Zr2 Pt1 Se1'
_cell_length_a 3.8740
_cell_length_b 3.8740
_cell_length_c 5.5679
_cell_angle_alpha 90.00
_cell_angle_beta 90.00
_cell_angle_gamma 90.00
_space_group_name_H-M_alt 'P 1'
_space_group_IT_number 1
loop_
_space_group_symop_operation_xyz
'x,y,z'
loop_
_atom_site_label
_atom_site_fract_x
_atom_site_fract_y
_atom_site_fract_z
Zr1 0.0000 0.0000 0.0000
Zr2 0.5000 0.5000 0.5000
Pt1 0.0000 0.0000 0.5000
Se1 0.5000 0.5000 0.0000
```

Values from the calculation:
The raw formation energy comes out at -0.985 eV/atom. As for the volume: 20.9 A^3/atom. The density is 9.071 g cm⁻³. Its magnetization is 0.000 μB/f.u.


(7)
DFT (PBE-GGA) results for crystalline ZrPtSe2 at its relaxed geometry.

Structure (CIF):
```
data_ZrPtSe2
_chemical_formula_sum 'Zr4 Pt4 Se8'
_cell_length_a 6.7391
_cell_length_b 6.7391
_cell_length_c 6.7391
_cell_angle_alpha 90.00
_cell_angle_beta 90.00
_cell_angle_gamma 90.00
_space_group_name_H-M_alt 'P 1'
_space_group_IT_number 1
loop_
_space_group_symop_operation_xyz
'x,y,z'
loop_
_atom_site_label
_atom_site_fract_x
_atom_site_fract_y
_atom_site_fract_z
Zr1 0.0000 0.0000 0.0000
Zr2 0.0000 0.5000 0.5000
Zr3 0.5000 0.0000 0.5000
Zr4 0.5000 0.5000 0.0000
Pt1 0.2500 0.2500 0.7500
Pt2 0.2500 0.7500 0.2500
Pt3 0.7500 0.2500 0.2500
Pt4 0.7500 0.7500 0.7500
Se1 0.0000 0.0000 0.5000
Se2 0.0000 0.5000 0.0000
Se3 0.2500 0.2500 0.2500
Se4 0.2500 0.7500 0.7500
Se5 0.5000 0.0000 0.0000
Se6 0.5000 0.5000 0.5000
Se7 0.7500 0.2500 0.7500
Se8 0.7500 0.7500 0.2500
```

Values from the calculation:
The energy above the most stable polymorph in this dataset is 604 meV/atom. The raw formation energy comes out at -0.336 eV/atom. As for the volume: 19.1 A^3/atom. The density is 9.641 g cm⁻³. Its magnetization is 0.000 μB/f.u.


(8)
DFT (PBE-GGA) results for crystalline ZrPt3Se at its relaxed geometry.

Structure (CIF):
```
data_ZrPt3Se
_chemical_formula_sum 'Zr1 Pt3 Se1'
_cell_length_a 4.6869
_cell_length_b 4.6869
_cell_length_c 4.6869
_cell_angle_alpha 90.00
_cell_angle_beta 90.00
_cell_angle_gamma 90.00
_space_group_name_H-M_alt 'P 1'
_space_group_IT_number 1
loop_
_space_group_symop_operation_xyz
'x,y,z'
loop_
_atom_site_label
_atom_site_fract_x
_atom_site_fract_y
_atom_site_fract_z
Zr1 0.0000 0.0000 0.0000
Pt1 0.0000 0.5000 0.5000
Pt2 0.5000 0.0000 0.5000
Pt3 0.5000 0.5000 0.0000
Se1 0.5000 0.5000 0.5000
```

Values from the calculation:
The energy above the most stable polymorph in this dataset is 0 meV/atom. The raw formation energy comes out at 0.247 eV/atom. As for the volume: 20.6 A^3/atom. The density is 12.184 g cm⁻³. Its magnetization is 0.000 μB/f.u.


(9)
DFT (PBE-GGA) results for crystalline ZrPt2Se at its relaxed geometry.

Structure (CIF):
```
data_ZrPt2Se
_chemical_formula_sum 'Zr1 Pt2 Se1'
_cell_length_a 3.5525
_cell_length_b 3.5525
_cell_length_c 6.1096
_cell_angle_alpha 90.00
_cell_angle_beta 90.00
_cell_angle_gamma 90.00
_space_group_name_H-M_alt 'P 1'
_space_group_IT_number 1
loop_
_space_group_symop_operation_xyz
'x,y,z'
loop_
_atom_site_label
_atom_site_fract_x
_atom_site_fract_y
_atom_site_fract_z
Zr1 0.0000 0.0000 0.0000
Pt1 0.0000 0.0000 0.4272
Pt2 0.5000 0.5000 0.2127
Se1 0.5000 0.5000 0.7734
```

Values from the calculation:
The raw formation energy comes out at -0.555 eV/atom. As for the volume: 19.3 A^3/atom. The density is 12.068 g cm⁻³. Its magnetization is 0.000 μB/f.u.


(10)
DFT (PBE-GGA) results for crystalline ZrPtSe2 at its relaxed geometry.

Structure (CIF):
```
data_ZrPtSe2
_chemical_formula_sum 'Zr4 Pt4 Se8'
_cell_length_a 6.6705
_cell_length_b 6.6705
_cell_length_c 6.6705
_cell_angle_alpha 90.00
_cell_angle_beta 90.00
_cell_angle_gamma 90.00
_space_group_name_H-M_alt 'P 1'
_space_group_IT_number 1
loop_
_space_group_symop_operation_xyz
'x,y,z'
loop_
_atom_site_label
_atom_site_fract_x
_atom_site_fract_y
_atom_site_fract_z
Zr1 0.0000 0.0000 0.0000
Zr2 0.0000 0.5000 0.5000
Zr3 0.5000 0.0000 0.5000
Zr4 0.5000 0.5000 0.0000
Pt1 0.0000 0.0000 0.5000
Pt2 0.0000 0.5000 0.0000
Pt3 0.5000 0.0000 0.0000
Pt4 0.5000 0.5000 0.5000
Se1 0.2500 0.2500 0.2500
Se2 0.2500 0.2500 0.7500
Se3 0.2500 0.7500 0.2500
Se4 0.2500 0.7500 0.7500
Se5 0.7500 0.2500 0.2500
Se6 0.7500 0.2500 0.7500
Se7 0.7500 0.7500 0.2500
Se8 0.7500 0.7500 0.7500
```

Values from the calculation:
The energy above the most stable polymorph in this dataset is 441 meV/atom. The raw formation energy comes out at -0.498 eV/atom. As for the volume: 18.6 A^3/atom. The density is 9.941 g cm⁻³. Its magnetization is 0.000 μB/f.u.


What did the tenth record say?
DFT (PBE-GGA) results for crystalline ZrPtSe2 at its relaxed geometry.

Structure (CIF):
```
data_ZrPtSe2
_chemical_formula_sum 'Zr4 Pt4 Se8'
_cell_length_a 6.6705
_cell_length_b 6.6705
_cell_length_c 6.6705
_cell_angle_alpha 90.00
_cell_angle_beta 90.00
_cell_angle_gamma 90.00
_space_group_name_H-M_alt 'P 1'
_space_group_IT_number 1
loop_
_space_group_symop_operation_xyz
'x,y,z'
loop_
_atom_site_label
_atom_site_fract_x
_atom_site_fract_y
_atom_site_fract_z
Zr1 0.0000 0.0000 0.0000
Zr2 0.0000 0.5000 0.5000
Zr3 0.5000 0.0000 0.5000
Zr4 0.5000 0.5000 0.0000
Pt1 0.0000 0.0000 0.5000
Pt2 0.0000 0.5000 0.0000
Pt3 0.5000 0.0000 0.0000
Pt4 0.5000 0.5000 0.5000
Se1 0.2500 0.2500 0.2500
Se2 0.2500 0.2500 0.7500
Se3 0.2500 0.7500 0.2500
Se4 0.2500 0.7500 0.7500
Se5 0.7500 0.2500 0.2500
Se6 0.7500 0.2500 0.7500
Se7 0.7500 0.7500 0.2500
Se8 0.7500 0.7500 0.7500
```

Values from the calculation:
The energy above the most stable polymorph in this dataset is 441 meV/atom. The raw formation energy comes out at -0.498 eV/atom. As for the volume: 18.6 A^3/atom. The density is 9.941 g cm⁻³. Its magnetization is 0.000 μB/f.u.


Q: Which formula does entry 4 have?
A: Zr2PtSe


Q: Which value of magnetization does entry 1 give?
A: 0.000 μB/f.u.